Entry 1:
First-principles (GGA-PBE) data for a relaxed structure of K2Rb2ReO4, as listed in Alexandria.

The calculation puts the calculated volume at 356 Å³ per cell. Its total magnetization is 0.1112 μB per atom.

The space group is I4/mmm (No. 139) and the conventional cell measures 6.3185, 6.3185 and 8.9259 Å, with angles of 90.00, 90.00 and 90.00 degrees. The inequivalent atoms are K at (0.0000, 0.0000, 0.1484), Rb at (0.0000, 0.5000, 0.2500), Re at (0.0000, 0.0000, 0.5000) and O at (0.2147, 0.2147, 0.5000).



Entry 2:
First-principles (GGA-PBE) data for a relaxed structure of KRb3Rh2O6, as listed in Alexandria.

The calculation puts the calculated volume at 292 Å³ per cell. Its total magnetization is 0.1669 μB per atom.

The space group is P-3m1 (No. 164) and the conventional cell measures 6.6150, 6.6150 and 7.7162 Å, with angles of 90.00, 90.00 and 120.00 degrees. The inequivalent atoms are K at (0.0000, 0.0000, 0.0000), Rb at (0.0000, 0.0000, 0.5000), Rb at (0.3333, 0.6667, 0.2371), Rh at (0.3333, 0.6667, 0.7590) and O at (0.1757, 0.3513, 0.7613).



Entry 3:
First-principles (GGA-PBE) data for a relaxed structure of K3Rb2RhO6, as listed in Alexandria.

The calculation puts the calculated volume at 447 Å³ per cell. Its total magnetization is 0.1606 μB per atom.

The space group is C2/m (No. 12) and the conventional cell measures 6.6447, 11.4978 and 6.2982 Å, with angles of 90.00, 111.67 and 90.00 degrees. The inequivalent atoms are K at (0.0000, 0.0000, 0.0000), K at (0.0000, 0.3440, 0.0000), Rb at (0.0000, 0.1691, 0.5000), Rh at (0.0000, 0.5000, 0.5000), O at (0.1795, 0.5000, 0.3147) and O at (0.1873, 0.3785, 0.7014).



Entry 4:
First-principles (GGA-PBE) data for a relaxed structure of K2Rb3RuO6, as listed in Alexandria.

The calculation puts the calculated volume at 444 Å³ per cell. Its total magnetization is 0.0873 μB per atom.

The space group is C2/m (No. 12) and the conventional cell measures 6.4947, 11.1822 and 6.4960 Å, with angles of 90.00, 109.67 and 90.00 degrees. The inequivalent atoms are K at (0.0000, 0.1667, 0.0000), Rb at (0.0000, 0.0000, 0.5000), Rb at (0.0000, 0.3330, 0.5000), Ru at (0.0000, 0.5000, 0.0000), O at (0.1832, 0.5000, 0.8168) and O at (0.1842, 0.3769, 0.1838).



Entry 5:
First-principles (GGA-PBE) data for a relaxed structure of KRbRu2O8, as listed in Alexandria.

The calculation puts the calculated volume at 479 Å³ per cell. Its total magnetization is 0.1712 μB per atom.

The space group is C2/m (No. 12) and the conventional cell measures 11.2021, 6.3125 and 7.3271 Å, with angles of 90.00, 112.27 and 90.00 degrees. The inequivalent atoms are K at (0.0000, 0.0000, 0.0000), Rb at (0.0000, 0.5000, 0.5000), Ru at (0.2158, 0.5000, 0.1933), O at (0.1154, 0.0000, 0.7191), O at (0.1526, 0.5000, 0.9344) and O at (0.1595, 0.2756, 0.2770).



Entry 6:
First-principles (GGA-PBE) data for a relaxed structure of K2Rb2RuO4, as listed in Alexandria.

The calculation puts the calculated volume at 346 Å³ per cell. Its total magnetization is 0.2222 μB per atom.

The space group is I4/mmm (No. 139) and the conventional cell measures 6.3217, 6.3217 and 8.6623 Å, with angles of 90.00, 90.00 and 90.00 degrees. The inequivalent atoms are K at (0.0000, 0.0000, 0.1539), Rb at (0.0000, 0.5000, 0.2500), Ru at (0.0000, 0.0000, 0.5000) and O at (0.2157, 0.2157, 0.5000).



Entry 7:
First-principles (GGA-PBE) data for a relaxed structure of KRbRu2O6, as listed in Alexandria.

The calculation puts the calculated volume at 761 Å³ per cell. Its total magnetization is 0.2028 μB per atom.

The space group is C2/c (No. 15) and the conventional cell measures 12.1344, 12.9400 and 4.8491 Å, with angles of 90.00, 91.69 and 90.00 degrees. The inequivalent atoms are K at (0.0000, 0.1127, 0.2500), Rb at (0.0000, 0.3251, 0.7500), Ru at (0.2356, 0.4100, 0.2136), O at (0.1196, 0.1137, 0.7622), O at (0.1339, 0.3152, 0.2690) and O at (0.2069, 0.4526, 0.8315).



Entry 8:
First-principles (GGA-PBE) data for a relaxed structure of KRb2RuO4, as listed in Alexandria.

The calculation puts the calculated volume at 348 Å³ per cell. Its total magnetization is 0.1185 μB per atom.

The space group is I-4 (No. 82) and the conventional cell measures 6.4632, 6.4632 and 8.3231 Å, with angles of 90.00, 90.00 and 90.00 degrees. The inequivalent atoms are K at (0.0000, 0.0000, 0.0000), Rb at (0.0000, 0.0000, 0.5000), Rb at (0.0000, 0.5000, 0.7500), Ru at (0.0000, 0.5000, 0.2500) and O at (0.1745, 0.3054, 0.1594).



Number 1: uncorrected formation energy -1219 meV/atom, density 4.65 g/cm³. Number 2: uncorrected formation energy -1036 meV/atom, density 3.39 g/cm³. Number 3: uncorrected formation energy -1015 meV/atom, density 3.62 g/cm³. Number 4: uncorrected formation energy -1198 meV/atom, density 3.97 g/cm³. Number 5: uncorrected formation energy -1095 meV/atom, density 3.15 g/cm³. Number 6: uncorrected formation energy -1028 meV/atom, density 3.97 g/cm³. Number 7: uncorrected formation energy -1127 meV/atom, density 3.69 g/cm³. Number 8: uncorrected formation energy -1254 meV/atom, density 3.58 g/cm³.